# GGA-PBE SbTe2AsW, optimized geometry
data_SbTe2AsW
_chemical_formula_sum 'Sb1 Te2 As1 W1'
_symmetry_space_group_name_H-M 'P 1'
_symmetry_Int_Tables_number 1
_cell_length_a 5.2008
_cell_length_b 5.2008
_cell_length_c 5.3259
_cell_angle_alpha 90.00
_cell_angle_beta 90.00
_cell_angle_gamma 90.00
loop_
_symmetry_equiv_pos_as_xyz
'x,y,z'
loop_
_atom_site_label
_atom_site_fract_x
_atom_site_fract_y
_atom_site_fract_z
Sb1 0.0000 0.0000 0.0000
Te1 0.0000 0.5000 0.5000
Te2 0.5000 0.0000 0.5000
As1 0.5000 0.5000 0.0000
W1 0.0000 0.0000 0.5000
# E_form (uncorrected) ... 4.1 eV/f.u.
# Theoretical density ... 7.3 g/cm³
# Magnetization ... 0.000 μB/atom

# GGA-PBE Rb2NaRh, optimized geometry
data_Rb2NaRh
_chemical_formula_sum 'Rb4 Na2 Rh2'
_symmetry_space_group_name_H-M 'P 1'
_symmetry_Int_Tables_number 1
_cell_length_a 8.6073
_cell_length_b 8.6073
_cell_length_c 8.6073
_cell_angle_alpha 96.14
_cell_angle_beta 96.14
_cell_angle_gamma 141.82
loop_
_symmetry_equiv_pos_as_xyz
'x,y,z'
loop_
_atom_site_label
_atom_site_fract_x
_atom_site_fract_y
_atom_site_fract_z
Rb1 0.3750 0.0300 0.1550
Rb2 0.7800 0.6250 0.6550
Rb3 0.8750 0.2200 0.8450
Rb4 0.9700 0.1250 0.3450
Na1 0.2500 0.7500 0.5000
Na2 0.5000 0.5000 0.0000
Rh1 0.0000 0.0000 0.0000
Rh2 0.7500 0.2500 0.5000
# Formation enthalpy at 0 K ... 0.577 eV/atom
# Theoretical density ... 2.6 g/cm³
# Magnetization ... 0.000 μB/atom

# GGA-PBE LiLa2Re, optimized geometry
data_LiLa2Re
_chemical_formula_sum 'Li2 La4 Re2'
_symmetry_space_group_name_H-M 'P 1'
_symmetry_Int_Tables_number 1
_cell_length_a 6.6116
_cell_length_b 6.6116
_cell_length_c 6.6116
_cell_angle_alpha 103.99
_cell_angle_beta 103.99
_cell_angle_gamma 121.10
loop_
_symmetry_equiv_pos_as_xyz
'x,y,z'
loop_
_atom_site_label
_atom_site_fract_x
_atom_site_fract_y
_atom_site_fract_z
Li1 0.0000 0.0000 0.0000
Li2 0.7500 0.2500 0.5000
La1 0.1723 0.1250 0.5473
La2 0.3750 0.8277 0.9527
La3 0.5777 0.6250 0.4527
La4 0.8750 0.4223 0.0473
Re1 0.2500 0.7500 0.5000
Re2 0.5000 0.5000 0.0000
# Formation enthalpy at 0 K ... 0.514 eV/atom
# Theoretical density ... 7.3 g/cm³
# Magnetization ... 0.000 μB/atom

# GGA-PBE BaSmEr2, optimized geometry
data_BaSmEr2
_chemical_formula_sum 'Ba1 Sm1 Er2'
_symmetry_space_group_name_H-M 'P 1'
_symmetry_Int_Tables_number 1
_cell_length_a 13.0131
_cell_length_b 13.0131
_cell_length_c 13.0131
_cell_angle_alpha 15.92
_cell_angle_beta 15.92
_cell_angle_gamma 15.92
loop_
_symmetry_equiv_pos_as_xyz
'x,y,z'
loop_
_atom_site_label
_atom_site_fract_x
_atom_site_fract_y
_atom_site_fract_z
Ba1 0.0000 0.0000 0.0000
Sm1 0.5000 0.5000 0.5000
Er1 0.0934 0.0934 0.0934
Er2 0.9066 0.9066 0.9066
# Formation enthalpy at 0 K ... 0.239 eV/atom
# Theoretical density ... 7.1 g/cm³
# Magnetization ... 0.013 μB/atom